# 1
# CuTe2PN, relaxed, DFT GGA-PBE
# Formation energy without anion corrections: 3.07 eV per formula unit
# Raw total energy: -21.0 eV per formula unit
# N(E_F): 2.0 states/eV per cell
data_CuTe2PN
_cell_length_a 5.5053
_cell_length_b 5.5053
_cell_length_c 3.2296
_cell_angle_alpha 90.00
_cell_angle_beta 90.00
_cell_angle_gamma 90.00
_symmetry_space_group_name_H-M 'P 4/m m m'
_symmetry_Int_Tables_number 123
_symmetry_space_group_name_Hall '-P 4 2'
loop_
_atom_site_label
_atom_site_fract_x
_atom_site_fract_y
_atom_site_fract_z
_atom_site_occupancy
Cu1 0.0000 0.0000 0.0000 1
Te1 0.0000 0.5000 0.5000 1
P1 0.5000 0.5000 0.5000 1
N1 0.5000 0.5000 0.0000 1

---

# 2
# CuTePN2, relaxed, DFT GGA-PBE
# Formation energy without anion corrections: 8.69 eV per formula unit
# Raw total energy: -20.6 eV per formula unit
# N(E_F): 5.1 states/eV per cell
data_CuTePN2
_cell_length_a 3.7944
_cell_length_b 3.7944
_cell_length_c 5.4310
_cell_angle_alpha 90.00
_cell_angle_beta 90.00
_cell_angle_gamma 90.00
_symmetry_space_group_name_H-M 'P 4/m m m'
_symmetry_Int_Tables_number 123
_symmetry_space_group_name_Hall '-P 4 2'
loop_
_atom_site_label
_atom_site_fract_x
_atom_site_fract_y
_atom_site_fract_z
_atom_site_occupancy
Cu1 0.0000 0.0000 0.0000 1
Te1 0.0000 0.0000 0.5000 1
P1 0.5000 0.5000 0.5000 1
N1 0.0000 0.5000 0.0000 1

---

> Among the records above, which one has the lowest raw total energy?

CuTe2PN